[1]
The following is a PBE calculation of a relaxed structure of SmMgZn5Pt2, from the Alexandria database.

Lattice parameters (Å, degrees): 4.7885 4.7885 7.6342 90.00 90.00 90.00
Closest atoms and distances in Å follow each position.
Atoms (fractional coordinates):
Sm (0.0000, 0.0000, 0.0000)  12 Zn 3.10-3.39
Mg (0.0000, 0.0000, 0.5000)  8 Zn 3.03
Zn (0.0000, 0.5000, 0.2576)  2 Pt 2.45
Zn (0.0000, 0.5000, 0.7424)  2 Pt 2.45
Zn (0.5000, 0.0000, 0.2576)  2 Pt 2.45
Zn (0.5000, 0.0000, 0.7424)  2 Pt 2.45
Zn (0.5000, 0.5000, 0.0000)  2 Pt 2.49
Pt (0.5000, 0.5000, 0.3263)  5 Zn 2.45-2.49, 1 Pt 2.65
Pt (0.5000, 0.5000, 0.6737)  5 Zn 2.45-2.49, 1 Pt 2.65

Computed properties:
The space-group type is P4/mmm.



[2]
The following is a PBE calculation of a relaxed structure of FeHg, from the Alexandria database.

Lattice parameters (Å, degrees): 4.5752 4.5752 4.5752 60.00 60.00 60.00
Closest atoms and distances in Å follow each position.
Atoms (fractional coordinates):
Fe (0.1250, 0.1250, 0.1250)  4 Fe 2.80, 4 Hg 2.80
Fe (0.8750, 0.8750, 0.8750)  4 Hg 2.80, 4 Fe 2.80
Hg (0.3750, 0.3750, 0.3750)  4 Hg 2.80, 4 Fe 2.80
Hg (0.6250, 0.6250, 0.6250)  4 Fe 2.80, 4 Hg 2.80

Computed properties:
The space-group type is Fd-3m.



Number 1: electronic total energy -27.2 eV for the cell shown. Number 2: electronic total energy -15.3 eV for the cell shown.